Below is crystalline NbNi7Sn2Pt2 at its relaxed geometry, with properties calculated at the PBE level.

a = 3.5513 Å, b = 3.5513 Å, c = 14.1020 Å
α = 82.83°, β = 82.83°, γ = 89.98°
Sites, in units of the cell vectors:
1 Ni 0.2686 0.2686 0.4616
2 Ni 0.5000 0.5000 0.0000
3 Ni 0.9338 0.4339 0.1340
4 Ni 0.5661 0.0662 0.8660
5 Ni 0.0662 0.5661 0.8660
6 Ni 0.4339 0.9338 0.1340
7 Ni 0.7314 0.7314 0.5384
8 Sn 0.1784 0.1784 0.6415
9 Sn 0.8216 0.8216 0.3585
10 Nb 0.0000 0.0000 0.0000
11 Pt 0.3652 0.3652 0.2714
12 Pt 0.6348 0.6348 0.7286

Total energy = -6.043 eV per atom

***

Below is crystalline SrNb2NiPt at its relaxed geometry, with properties calculated at the PBE level.

a = 4.9271 Å, b = 5.7088 Å, c = 4.9271 Å
α = 90.00°, β = 90.00°, γ = 90.00°
Site moments in Bohr magnetons follow the coordinates.
Sites, in units of the cell vectors:
1 Nb 0.0000 0.0000 0.5000  0.53
2 Nb 0.5000 0.0000 0.0000  0.80
3 Ni 0.5000 0.5000 0.5000  0.46
4 Sr 0.0000 0.5000 0.0000  0.02
5 Pt 0.0000 0.0000 0.0000  0.01

Total energy = -5.646 eV per atom

***

Below is crystalline TiNbNiPt at its relaxed geometry, with properties calculated at the PBE level.

a = 4.3848 Å, b = 4.3848 Å, c = 4.3848 Å
α = 60.00°, β = 60.00°, γ = 60.00°
Site moments in Bohr magnetons follow the coordinates.
Sites, in units of the cell vectors:
1 Pt 0.7500 0.7500 0.7500  0.00
2 Nb 0.2500 0.2500 0.2500  0.35
3 Ni 0.5000 0.5000 0.5000  0.12
4 Ti 0.0000 0.0000 0.0000  0.36

Total energy = -7.854 eV per atom

***

Below is crystalline TiNbNiPt at its relaxed geometry, with properties calculated at the PBE level.

a = 3.2191 Å, b = 3.2191 Å, c = 5.9382 Å
α = 90.00°, β = 90.00°, γ = 90.00°
Sites, in units of the cell vectors:
1 Ni 0.0000 0.0000 0.3466
2 Nb 0.5000 0.5000 0.1359
3 Ti 0.0000 0.0000 0.8358
4 Pt 0.5000 0.5000 0.6096

Total energy = -7.942 eV per atom

***

We obtain ΔH_f (0 K) values of -0.16; 1.08; -0.41; -0.50 eV/atom for the records listed above, in that order.
We obtain M_tot values of 0.00; 2.19; 0.89; 0.00 μB per formula unit for the records listed above, in that order.